Ir7Se: relaxed, PBE.

a = 7.8006 Å, b = 7.8006 Å, c = 7.8006 Å
α = 90.00°, β = 90.00°, γ = 90.00°
Space group Fm-3m (No. 225)
Symmetry-distinct sites (fractional):
Ir  0.0000  0.0000  0.0000
Ir  0.0000  0.2500  0.2500
Se  0.0000  0.0000  0.5000

Computed properties:
Magnetization, μB/f.u.: 0.00
Raw total energy, eV per atom: -7.949
Formation energy from raw total energies, kJ/mol of formula units: 186


IrSe: relaxed, PBE.

a = 3.9536 Å, b = 3.9536 Å, c = 5.6394 Å
α = 90.00°, β = 90.00°, γ = 90.00°
Space group P4/nmm (No. 129, origin choice 2)
Symmetry-distinct sites (fractional):
Ir  0.2500  0.7500  0.0000
Se  0.2500  0.2500  0.2670

Computed properties:
Magnetization, μB/f.u.: 0.00
Raw total energy, eV per atom: -6.113
Formation energy from raw total energies, kJ/mol of formula units: 11


Ir3Se5: relaxed, PBE.

a = 7.1309 Å, b = 12.0201 Å, c = 3.7197 Å
α = 90.00°, β = 90.00°, γ = 90.00°
Space group Cmmm (No. 65)
Symmetry-distinct sites (fractional):
Ir  0.0000  0.0000  0.0000
Ir  0.0000  0.1681  0.5000
Se  0.0000  0.5000  0.0000
Se  0.2274  0.0000  0.5000
Se  0.2500  0.2500  0.0000

Computed properties:
Magnetization, μB/f.u.: 0.00
Raw total energy, eV per atom: -5.074
Energy above the lowest structure with this stoichiometry, meV per atom: 150
Formation energy from raw total energies, kJ/mol of formula units: 330


Q: Number 3 is which compound?
A: Ir3Se5


Q: Which value of magnetization does entry 1 give?
A: 0.00 μB/f.u.